1.
As2Se after structural relaxation. Source: Alexandria via LeMat-Bulk, functional PBE-GGA.

The formation energy (no corrections) comes out at 372 meV per atom. Its crystal system is tetragonal.

It has space group I4/mcm (No. 140), with a = 5.724 Å, b = 5.724 Å, c = 7.925 Å, α = 90.00°, β = 90.00° and γ = 90.00°. The asymmetric unit holds As at (0.160, 0.340, 0.000) and Se at (0.000, 0.000, 0.250).


2.
NdErPtPb after structural relaxation. Source: Alexandria via LeMat-Bulk, functional PBE-GGA.

For the calculated formation energy, the calculation gives -0.697 eV/atom. Its crystal system is cubic.

It has space group F-43m (No. 216), with a = 7.429 Å, b = 7.429 Å, c = 7.429 Å, α = 90.00°, β = 90.00° and γ = 90.00°. The asymmetric unit holds Nd at (0.000, 0.000, 0.000), Er at (0.000, 0.000, 0.500), Pt at (0.250, 0.250, 0.250) and Pb at (0.250, 0.250, 0.750).


3.
Sm4SnBiN after structural relaxation. Source: Alexandria via LeMat-Bulk, functional PBE-GGA.

The formation energy (no corrections) comes out at -918 meV per atom. Its crystal system is orthorhombic.

It has space group Cmcm (No. 63), with a = 6.849 Å, b = 16.449 Å, c = 6.846 Å, α = 90.00°, β = 90.00° and γ = 90.00°. The asymmetric unit holds Sm at (0.000, 0.089, 0.250), Sm at (0.000, 0.407, 0.250), Sm at (0.250, 0.250, 0.000), Sn at (0.000, 0.108, 0.750), Bi at (0.000, 0.395, 0.750) and N at (0.000, 0.249, 0.250).


Final energy
In order: -3.889, -5.467, -5.930
Unit: eV/atom
Theoretical density
In order: 5.853, 11.563, 8.124
Unit: g/cm³